Entry 1:
Sn3HgBr6 after structural relaxation, computed with PBE.

As for the symmetry: P2_1/m (11). The value obtained for the raw formation energy is -0.67 eV per atom. For the mass density, the calculation gives 4.21 g/cm3. For the calculated total energy, the calculation gives -29.04 eV/f.u. As for the density of states at the Fermi level: 0.000 states/eV per atom.

Structure (POSCAR):
```
Sn3HgBr6
1.0
13.681 0.000 0.000
0.000 4.332 0.000
-2.356 0.000 13.782
Sn Hg Br
6 2 12
direct
0.050 0.250 0.136
0.235 0.250 0.671
0.334 0.750 0.423
0.666 0.250 0.577
0.765 0.750 0.329
0.950 0.750 0.864
0.414 0.250 0.042
0.586 0.750 0.958
0.036 0.250 0.762
0.125 0.750 0.009
0.163 0.750 0.504
0.258 0.250 0.289
0.319 0.750 0.791
0.411 0.250 0.579
0.589 0.750 0.421
0.681 0.250 0.209
0.742 0.750 0.711
0.837 0.250 0.496
0.875 0.250 0.991
0.964 0.750 0.238
```

Entry 2:
SnHgBr after structural relaxation, computed with PBE.

As for the symmetry: P3m1 (156). The value obtained for the raw formation energy is -0.15 eV per atom. For the mass density, the calculation gives 7.44 g/cm3. For the calculated total energy, the calculation gives -6.43 eV/f.u. As for the density of states at the Fermi level: 0.444 states/eV per atom.

Structure (POSCAR):
```
SnHgBr
1.0
3.597 0.000 0.000
-1.799 3.115 0.000
0.000 0.000 7.948
Sn Hg Br
1 1 1
direct
0.000 0.000 0.000
0.333 0.667 0.635
0.667 0.333 0.273
```

Entry 3:
SnHgBr3 after structural relaxation, computed with PBE.

As for the symmetry: Pm-3m (221). The value obtained for the raw formation energy is -0.41 eV per atom. For the mass density, the calculation gives 5.22 g/cm3. For the calculated total energy, the calculation gives -11.40 eV/f.u. As for the density of states at the Fermi level: 0.780 states/eV per atom.

Structure (POSCAR):
```
SnHgBr3
1.0
5.622 0.000 0.000
0.000 5.622 0.000
0.000 0.000 5.622
Sn Hg Br
1 1 3
direct
0.000 0.000 0.000
0.500 0.500 0.500
0.000 0.000 0.500
0.000 0.500 0.000
0.500 0.000 0.000
```